PBE DyScRh, relaxed; relative energy among the computed polymorphs = 0.365 eV per formula unit; electronic total energy = -6.67 eV per atom; total magnetic moment = 0.00 μB/atom
1.0
-1.860 -1.955 1.937
-1.227 -1.505 -2.696
6.045 -2.335 0.599
Rh Dy Sc
1 1 1
Cartesian
0.044 -3.163 -0.302
0.243 -0.219 0.012
2.673 -2.413 0.130